First-principles (PBE-GGA) data for a relaxed structure of CrNi3Pt6, as listed in Alexandria via LeMat-Bulk.

Summary:
N(E_F)	1.503	states/eV/atom
V	299.20	Å³ per cell
energy above the lowest structure with this stoichiometry	0.054	eV/atom

Lattice parameters (Å, degrees): 6.872 6.872 6.872 102.08 102.08 102.08
Positions (direct):
Cr 0.000 0.000 0.000
Cr 0.500 0.500 0.500
Ni 0.069 0.330 0.246
Ni 0.246 0.069 0.330
Ni 0.330 0.246 0.069
Ni 0.670 0.754 0.931
Ni 0.754 0.931 0.670
Ni 0.931 0.670 0.754
Pt 0.035 0.678 0.141
Pt 0.141 0.035 0.678
Pt 0.186 0.654 0.529
Pt 0.322 0.859 0.965
Pt 0.346 0.471 0.814
Pt 0.471 0.814 0.346
Pt 0.529 0.186 0.654
Pt 0.654 0.529 0.186
Pt 0.678 0.141 0.035
Pt 0.814 0.346 0.471
Pt 0.859 0.965 0.322
Pt 0.965 0.322 0.859